An optimized crystal structure of PaTiAs. Source: Alexandria via LeMat-Bulk, functional PBE.

Calculated values
polymorph energy (0 for the lowest one) = 32 meV/atom
total magnetic moment = 0.000 μB/cell
SG = No. 12
energy of formation = -404 meV/atom
Fermi-level density of states = 0.995 states/eV per atom

```
6
Lattice="3.520 0.000 0.000 0.000 6.122 0.018 -1.760 -2.743 5.959" Properties=species:S:1:pos:R:3 pbc="T T T"
As 1.760 3.291 3.068
As 0.000 0.088 2.909
Pa 1.760 1.185 4.925
Pa 0.000 2.194 1.051
Ti 0.000 -1.857 4.652
Ti 1.760 5.236 1.324
```



An optimized crystal structure of Pa2TiAs. Source: Alexandria via LeMat-Bulk, functional PBE.

Calculated values
polymorph energy (0 for the lowest one) = 359 meV/atom
total magnetic moment = 0.000 μB/cell
SG = No. 166
energy of formation = -4 meV/atom
Fermi-level density of states = 2.143 states/eV per atom

```
4
Lattice="5.140 0.000 0.000 2.570 4.452 0.000 2.570 1.484 3.840" Properties=species:S:1:pos:R:3 pbc="T T T"
Ti 0.000 0.000 0.000
As 5.140 2.968 1.920
Pa 2.570 1.484 1.008
Pa 7.710 4.452 2.832
```



An optimized crystal structure of Pa2TiAs2. Source: Alexandria via LeMat-Bulk, functional PBE.

Calculated values
total magnetic moment = 0.961 μB/cell
SG = No. 63
energy of formation = -747 meV/atom
Fermi-level density of states = 1.600 states/eV per atom

```
10
Lattice="-0.079 2.437 -3.874 -5.708 1.084 0.798 1.834 5.260 5.976" Properties=species:S:1:pos:R:3 pbc="T T T"
Pa -1.295 0.246 0.181
Pa -2.394 8.485 2.682
Pa -4.877 3.582 2.353
Pa -1.665 5.691 0.909
Ti -2.402 3.039 -0.744
Ti -4.144 6.234 4.007
As -4.464 6.433 1.434
As -2.078 2.839 1.829
As -5.339 3.278 -0.533
As -1.205 5.994 3.796
```



An optimized crystal structure of Pa3TiAs4. Source: Alexandria via LeMat-Bulk, functional PBE.

Calculated values
total magnetic moment = 0.003 μB/cell
SG = No. 13
energy of formation = -960 meV/atom
Fermi-level density of states = 1.290 states/eV per atom

```
16
Lattice="6.960 0.049 0.000 -2.390 6.452 0.000 0.000 0.000 8.066" Properties=species:S:1:pos:R:3 pbc="T T T"
As 1.640 4.995 0.908
As -1.743 4.908 2.947
As 6.313 1.593 5.119
As -1.840 4.970 7.158
As 2.833 1.569 2.947
As 6.410 1.531 0.908
As 2.930 1.507 7.158
As 1.737 4.933 5.119
Pa 4.025 3.263 5.056
Pa 0.545 3.238 3.010
Pa 1.740 0.012 5.062
Pa 4.025 3.263 1.012
Pa 0.545 3.238 7.053
Pa 5.220 0.037 3.003
Ti 1.740 0.012 1.043
Ti 5.220 0.037 7.022
```



An optimized crystal structure of PaTi2As2. Source: Alexandria via LeMat-Bulk, functional PBE.

Calculated values
total magnetic moment = 0.001 μB/cell
SG = No. 15
energy of formation = -564 meV/atom
Fermi-level density of states = 1.336 states/eV per atom

```
10
Lattice="6.670 0.510 0.553 -1.783 6.447 0.553 -2.135 -3.039 4.203" Properties=species:S:1:pos:R:3 pbc="T T T"
As 0.912 3.747 3.981
As 3.663 4.084 1.880
As -0.912 -0.166 3.429
As 1.839 0.171 1.327
Ti 3.915 -0.655 2.610
Ti -0.598 1.906 4.800
Ti 3.349 2.011 0.508
Ti -1.163 4.573 2.699
Pa 3.235 2.115 3.981
Pa -0.483 1.802 1.327
```



An optimized crystal structure of Pa2TiAs. Source: Alexandria via LeMat-Bulk, functional PBE.

Calculated values
polymorph energy (0 for the lowest one) = 0 meV/atom
total magnetic moment = 0.001 μB/cell
SG = No. 123
energy of formation = -364 meV/atom
Fermi-level density of states = 2.048 states/eV per atom

```
4
Lattice="-3.540 -2.747 0.427 0.000 -0.654 -4.203 2.627 -3.305 0.515" Properties=species:S:1:pos:R:3 pbc="T T T"
Ti -1.770 -1.374 0.214
Pa 1.314 -1.653 0.257
Pa 0.000 -0.327 -2.101
As -0.456 -3.353 -1.630
```



Which value of Fermi-level density of states does entry 5 give? 1.336 states/eV per atom